(A)
Material: Be2ZnIn
Method: DFT, PBE-GGA
State: relaxed

Unit cell a=4.810 b=4.810 c=4.810 alpha=134.16 beta=131.89 gamma=68.63
Positions (direct):
Be 0.000 0.000 0.000
Be 0.808 0.308 0.500
Zn 0.519 0.519 0.000
In 0.262 0.762 0.500

SG: Imm2 (44)
total magnetization: 0.0 μB/cell



(B)
Material: Be2ZnIn
Method: DFT, PBE-GGA
State: relaxed

Unit cell a=3.215 b=3.669 c=4.976 alpha=90.00 beta=90.00 gamma=90.00
Positions (direct):
Be 0.000 0.000 0.000
Be 0.500 0.500 0.242
Zn 0.500 0.500 0.789
In 0.000 0.000 0.490

SG: Pmm2 (25)
total magnetization: 0.0 μB/cell



(C)
Material: Be2ZnIn
Method: DFT, PBE-GGA
State: relaxed

Unit cell a=4.119 b=4.119 c=5.696 alpha=102.14 beta=102.14 gamma=39.85
Positions (direct):
Be 0.000 0.000 0.000
Be 0.729 0.729 0.094
Zn 0.470 0.470 0.325
In 0.242 0.242 0.681

SG: Cm (8)
total magnetization: 0.0 μB/cell



Which of them is the most stable? Correct choice: (C).



(A)
Material: Be2ZnIn
Method: DFT, PBE-GGA
State: relaxed

Unit cell a=2.780 b=3.599 c=5.786 alpha=90.00 beta=90.00 gamma=90.00
Positions (direct):
Be 0.000 0.000 0.192
Be 0.000 0.000 0.808
Zn 0.500 0.500 0.000
In 0.500 0.500 0.500

SG: Pmmm (47)
total magnetization: 0.0 μB/cell



(B)
Material: Be2ZnIn
Method: DFT, PBE-GGA
State: relaxed

Unit cell a=3.223 b=3.865 c=4.909 alpha=90.00 beta=108.75 gamma=90.00
Positions (direct):
Be 0.000 0.000 0.000
Be 0.125 0.500 0.249
Zn 0.427 0.500 0.844
In 0.722 0.000 0.456

SG: Pm (6)
total magnetization: 0.0 μB/cell



Which of them is the most stable? Correct choice: (B).



(A)
Material: Be2ZnIn
Method: DFT, PBE-GGA
State: relaxed

Unit cell a=8.233 b=8.233 c=8.233 alpha=20.59 beta=20.59 gamma=20.59
Positions (direct):
Be 0.000 0.000 0.000
Be 0.269 0.269 0.269
Zn 0.741 0.741 0.741
In 0.510 0.510 0.510

SG: R3m (160)
total magnetization: 0.0 μB/cell



(B)
Material: Be2ZnIn
Method: DFT, PBE-GGA
State: relaxed

Unit cell a=4.271 b=4.271 c=5.609 alpha=105.60 beta=105.60 gamma=37.85
Positions (direct):
Be 0.249 0.249 0.159
Be 0.751 0.751 0.841
Zn 0.500 0.500 0.000
In 0.000 0.000 0.500

SG: C2/m (12)
total magnetization: 0.0 μB/cell



Which of them is the most stable? Correct choice: (B).